1.
## Tl2AgAs (SCAN)

Data for Tl2AgAs at its PBEsol-relaxed geometry.

Computed properties:
The formation energy is 1.0 eV/f.u. For the size of the total moment, the calculation gives 0.00 μB per atom. Its crystal system is tetragonal. The value obtained for the calculated total energy is -48.8233 eV per atom. For the density of states at the Fermi level, the calculation gives 1.48 states/eV/cell.

Cell: 5.3509 5.3509 5.3509 Å, 128.69 128.69 75.52°
Atoms (fractional coordinates):
Tl 0.2500 0.7500 0.5000
Tl 0.7500 0.2500 0.5000
Ag 0.0000 0.0000 0.0000
As 0.5000 0.5000 0.0000

2.
## Pr2Mg (SCAN)

Data for Pr2Mg at its PBEsol-relaxed geometry.

Computed properties:
The formation energy is -0.2 eV/f.u. For the size of the total moment, the calculation gives 0.00 μB per atom. Its crystal system is orthorhombic. The value obtained for the calculated total energy is -30.6208 eV per atom. For the density of states at the Fermi level, the calculation gives 6.31 states/eV/cell.

Cell: 8.8867 8.8867 5.6171 Å, 90.00 90.00 155.37°
Atoms (fractional coordinates):
Pr 0.0875 0.9125 0.7500
Pr 0.2294 0.7706 0.2500
Pr 0.7706 0.2294 0.7500
Pr 0.9125 0.0875 0.2500
Mg 0.4306 0.5694 0.7500
Mg 0.5694 0.4306 0.2500

3.
## Te2HIr (SCAN)

Data for Te2HIr at its PBEsol-relaxed geometry.

Computed properties:
For the size of the total moment, the calculation gives 0.00 μB per atom. Its crystal system is trigonal. The value obtained for the calculated total energy is -36.4615 eV per atom. For the density of states at the Fermi level, the calculation gives 1.88 states/eV/cell.

Cell: 8.6519 8.6519 8.6519 Å, 20.49 20.49 20.49°
Atoms (fractional coordinates):
Te 0.1002 0.1002 0.1002
Te 0.8998 0.8998 0.8998
H 0.5000 0.5000 0.5000
Ir 0.0000 0.0000 0.0000